Material: Mg2SnBi
Method: DFT, meta-GGA SCAN
State: single point on PBEsol structure

Geometry as POSCAR:
```
Mg2SnBi
1.0
-5.0214 1.0503 0.8158
-3.6000 -1.8266 -3.2690
-3.2265 -3.7712 1.5333
Sn Mg Bi
1 2 1
direct
0.0000 0.0000 0.0000
0.7500 0.7500 0.7500
0.2500 0.2500 0.2500
0.5000 0.5000 0.5000
```

Summary:
D(E_F) ... 0.49 states/eV per atom
Raw total energy ... -124.827 eV for the cell shown